VASP calculation (PBE) on a relaxed structure of Cu2Ag.

## Properties
ΔE_f: 0.080 eV per atom
polymorph energy (0 for the lowest one): 0.101 eV/f.u.
E_tot: -10.02 eV/f.u.
space-group type: P4/mmm

a = 2.7433 Å, b = 2.7433 Å, c = 11.0845 Å
α = 90.00°, β = 90.00°, γ = 90.00°
Closest atoms and distances in Å follow each position.
Sites, in units of the cell vectors:
Ag  0.5000  0.5000  0.1768  4 Ag 2.74, 8 Cu 2.76
Ag  0.5000  0.5000  0.8232  4 Ag 2.74, 8 Cu 2.76
Cu  0.0000  0.0000  0.0000  4 Cu 2.74, 8 Ag 2.76
Cu  0.0000  0.0000  0.3541  8 Cu 2.53-2.74, 4 Ag 2.76
Cu  0.5000  0.5000  0.5000  12 Cu 2.53-2.74
Cu  0.0000  0.0000  0.6459  8 Cu 2.53-2.74, 4 Ag 2.76